Computed, not measured: a relaxed Ho6As3P2S crystal at the PBE level of DFT.

The space group is C2/m (No. 12) and the conventional cell measures 17.545, 4.031 and 8.061 Å, with angles of 90.00, 103.20 and 90.00 degrees. Symmetry generates all atoms from Ho at (0.002, 0.000, 0.252), Ho at (0.167, 0.500, 0.089), Ho at (0.168, 0.500, 0.579), As at (0.000, 0.500, 0.500), As at (0.165, 0.000, 0.834), P at (0.166, 0.000, 0.332) and S at (0.000, 0.500, 0.000).

The total energy is -0.23379 Ha/atom.